[1]
CuTcPb: relaxed, PBE-GGA.

Results
Offset from the most stable computed form ... 0.2044 eV/atom
E_tot ... -0.1914 hartree per atom

Unit cell a=6.289 b=6.289 c=6.289 alpha=90.00 beta=90.00 gamma=90.00
Space group F-43m (No. 216)
Unique sites:
Cu: 0.000 0.000 0.000 (multiplicity 4)
Tc: 0.250 0.250 0.250 (multiplicity 4)
Pb: 0.000 0.000 0.500 (multiplicity 4)

[2]
CuTcPb2: relaxed, PBE-GGA.

Results
Offset from the most stable computed form ... 0.3149 eV/atom
E_tot ... -0.1746 hartree per atom

Unit cell a=3.447 b=4.383 c=5.547 alpha=90.00 beta=90.00 gamma=90.00
Space group Pmmm (No. 47)
Unique sites:
Cu: 0.000 0.000 0.000 (multiplicity 1)
Tc: 0.500 0.000 0.500 (multiplicity 1)
Pb: 0.000 0.500 0.500 (multiplicity 1)
Pb: 0.500 0.500 0.000 (multiplicity 1)

Taking the records one at a time from the top gives magnetization values of 5.63 0.70 Bohr magnetons per cell.
Taking the records one at a time from the top gives E_form values of 0.848 0.717 eV per atom.